(1)
Entry from the Open Quantum Materials Database: a geometry-optimized HfNb2Sb structure (PBE).

**Crystal system**: cubic
**E**: -8.609 eV/atom
**Volume**: 19.59 Å³ per atom
**Spin magnetization**: 0.00 μB per formula unit
**Space-group type**: No. 216

```
4
Lattice="0.0000 3.3962 3.3962 3.3962 0.0000 3.3962 3.3962 3.3962 0.0000" Properties=species:S:1:pos:R:3 pbc="T T T"
Hf 0.0000 0.0000 0.0000
Nb 1.6981 1.6981 1.6981
Nb 3.3962 3.3962 3.3962
Sb 5.0943 5.0943 5.0943
```

***

(2)
Entry from the Open Quantum Materials Database: a geometry-optimized TmCdCuSe3 structure (PBE).

**Crystal system**: monoclinic
**E**: -4.174 eV/atom
**Volume**: 22.84 Å³ per atom
**Relative energy among the computed polymorphs**: 0.0000 eV/atom
**Spin magnetization**: 0.00 μB per formula unit
**Space-group type**: No. 11

```
12
Lattice="7.7260 0.0000 0.0000 0.0000 3.9279 0.0000 -1.8492 0.0000 9.0313" Properties=species:S:1:pos:R:3 pbc="T T T"
Tm 1.0946 0.9820 1.5662
Tm 4.7822 2.9459 7.4651
Cd 0.9125 2.9459 6.5095
Cd 4.9643 0.9820 2.5218
Cu 2.4584 2.9459 3.7945
Cu 3.4183 0.9820 5.2368
Se -0.8863 0.9820 7.6900
Se 0.9704 0.9820 4.3579
Se 3.0615 2.9459 1.3912
Se 2.8153 0.9820 7.6401
Se 4.9063 2.9459 4.6734
Se 6.7630 2.9459 1.3413
```

***

(3)
Entry from the Open Quantum Materials Database: a geometry-optimized HfCuBOs structure (PBE).

**Crystal system**: cubic
**E**: -7.468 eV/atom
**Volume**: 13.74 Å³ per atom
**Relative energy among the computed polymorphs**: 0.0000 eV/atom
**Spin magnetization**: 0.00 μB per formula unit
**Space-group type**: No. 216

```
4
Lattice="0.0000 3.0176 3.0176 3.0176 0.0000 3.0176 3.0176 3.0176 0.0000" Properties=species:S:1:pos:R:3 pbc="T T T"
Hf 0.0000 0.0000 0.0000
Cu 4.5264 4.5264 4.5264
B 3.0176 3.0176 3.0176
Os 1.5088 1.5088 1.5088
```

***

(4)
Entry from the Open Quantum Materials Database: a geometry-optimized P2Pt3 structure (PBE).

**Crystal system**: orthorhombic
**E**: -6.054 eV/atom
**Volume**: 15.53 Å³ per atom
**Spin magnetization**: 0.00 μB per formula unit
**Space-group type**: No. 63

```
10
Lattice="1.7063 -6.0158 0.0000 1.7063 6.0158 0.0000 0.0000 0.0000 7.5627" Properties=species:S:1:pos:R:3 pbc="T T T"
P 0.0000 0.0000 0.0000
P 0.0000 0.0000 3.7814
P 1.7063 2.9322 5.6721
P 1.7063 -2.9322 1.8907
Pt 1.7063 1.9604 0.4957
Pt 1.7063 1.9604 3.2857
Pt 1.7063 0.5406 5.6721
Pt 1.7063 -0.5406 1.8907
Pt 1.7063 -1.9604 4.2770
Pt 1.7063 -1.9604 7.0671
```

***

(5)
Entry from the Open Quantum Materials Database: a geometry-optimized RbMgCo structure (PBE).

**Crystal system**: cubic
**E**: -2.111 eV/atom
**Volume**: 33.07 Å³ per atom
**Relative energy among the computed polymorphs**: 0.0000 eV/atom
**Spin magnetization**: 1.59 μB per formula unit
**Space-group type**: No. 216

```
3
Lattice="0.0000 3.6743 3.6743 3.6743 0.0000 3.6743 3.6743 3.6743 0.0000" Properties=species:S:1:pos:R:3 pbc="T T T"
Rb 0.0000 0.0000 0.0000
Mg 3.6743 3.6743 3.6743
Co 5.5114 5.5114 5.5114
```

***

(6)
Entry from the Open Quantum Materials Database: a geometry-optimized CuNi2 structure (PBE).

**DFT formation energy**: 0.5551 eV per atom
**Crystal system**: cubic
**E**: -4.396 eV/atom
**Volume**: 13.32 Å³ per atom
**Spin magnetization**: 0.95 μB per formula unit
**Space-group type**: No. 225

```
3
Lattice="0.0000 2.7132 2.7132 2.7132 0.0000 2.7132 2.7132 2.7132 0.0000" Properties=species:S:1:pos:R:3 pbc="T T T"
Cu 0.0000 0.0000 0.0000
Ni 1.3566 1.3566 1.3566
Ni 4.0699 4.0699 4.0699
```

***

(7)
Entry from the Open Quantum Materials Database: a geometry-optimized CsGePt structure (PBE).

**Crystal system**: monoclinic
**E**: -4.256 eV/atom
**Volume**: 33.74 Å³ per atom
**Relative energy among the computed polymorphs**: 0.0000 eV/atom
**Spin magnetization**: 0.00 μB per formula unit
**Space-group type**: No. 14

```
12
Lattice="7.3351 0.0000 0.0000 0.0000 8.1469 0.0000 -4.5162 0.0000 6.7753" Properties=species:S:1:pos:R:3 pbc="T T T"
Cs -0.5656 0.0230 2.0752
Cs -2.8236 4.0505 5.4628
Cs 5.6426 4.0965 1.3125
Cs 3.3845 8.1239 4.7001
Ge 0.6217 5.4660 4.5355
Ge 2.8798 6.7544 1.1479
Ge -0.0609 1.3925 5.6274
Ge 2.1972 2.6809 2.2397
Pt 1.9631 5.0850 2.5393
Pt -0.2950 7.1354 5.9269
Pt 3.1140 1.0115 0.8484
Pt 0.8559 3.0619 4.2360
```

***

(8)
Entry from the Open Quantum Materials Database: a geometry-optimized CsTcAgTe3 structure (PBE).

**Crystal system**: monoclinic
**E**: -4.193 eV/atom
**Volume**: 31.31 Å³ per atom
**Relative energy among the computed polymorphs**: 0.0000 eV/atom
**Spin magnetization**: 0.41 μB per formula unit
**Space-group type**: No. 11

```
12
Lattice="9.2457 0.0000 0.0000 0.0000 4.0732 0.0000 -4.5670 0.0000 9.9763" Properties=species:S:1:pos:R:3 pbc="T T T"
Cs -1.0469 1.0183 2.7585
Cs 5.7255 3.0549 7.2177
Tc 3.6151 1.0183 1.6368
Tc 1.0636 3.0549 8.3395
Ag 2.4057 3.0549 3.8831
Ag 2.2730 1.0183 6.0931
Te 1.8265 3.0549 1.2193
Te 0.2507 3.0549 5.7837
Te -0.7031 1.0183 8.8455
Te 5.3818 3.0549 1.1308
Te 4.4280 1.0183 4.1925
Te 2.8521 1.0183 8.7569
```